(1)
The following is a DFT calculation (PBE-GGA) of an optimized crystal structure of PuInIr.

Results
SG: No. 62
DFT formation energy: -0.44 eV per atom

Lattice parameters (Å, degrees): 4.1669 8.6923 7.1460 90.00 90.00 90.00
With the nearest neighbours (Å) after each atom.
Fractional positions:
Ir 0.7500 0.6360 0.2445  4 In 2.76-2.91, 4 Pu 2.92-3.07
Ir 0.2500 0.3640 0.7555  4 In 2.76-2.91, 4 Pu 2.92-3.07
Ir 0.2500 0.1360 0.2555  4 In 2.76-2.91, 4 Pu 2.92-3.07
Ir 0.7500 0.8640 0.7445  4 In 2.76-2.91, 4 Pu 2.92-3.07
Pu 0.7500 0.3227 0.0378  5 Ir 2.92-3.10, 2 In 3.27
Pu 0.2500 0.6773 0.9622  5 Ir 2.92-3.10, 2 In 3.27
Pu 0.2500 0.8227 0.4622  5 Ir 2.92-3.10, 2 In 3.27
Pu 0.7500 0.1773 0.5378  5 Ir 2.92-3.10, 2 In 3.27
In 0.7500 0.9414 0.1410  4 Ir 2.76-2.91, 2 In 3.07
In 0.2500 0.4414 0.3590  4 Ir 2.76-2.91, 2 In 3.07
In 0.7500 0.5586 0.6410  4 Ir 2.76-2.91, 2 In 3.07
In 0.2500 0.0586 0.8590  4 Ir 2.76-2.91, 2 In 3.07

=====

(2)
The following is a DFT calculation (PBE-GGA) of an optimized crystal structure of Cs2NpO4.

Results
SG: No. 139
Polymorph energy (0 for the lowest one): 0.0 meV per atom
ΔE_f (raw): -2.4474 eV/atom

Lattice parameters (Å, degrees): 8.2694 8.2694 8.2694 149.12 149.12 44.23
With the nearest neighbours (Å) after each atom.
Fractional positions:
O 0.8743 0.8743 0.0000  1 Np 1.93
O 0.1257 0.1257 0.0000  1 Np 1.93
O 0.0000 0.5000 0.5000  2 Np 2.20
O 0.5000 0.0000 0.5000  2 Np 2.20
Np 0.0000 0.0000 0.0000  2 O 1.93
Cs 0.3472 0.3472 0.0000  9 O 3.14-3.39
Cs 0.6528 0.6528 0.0000  9 O 3.14-3.39

=====

(3)
The following is a DFT calculation (PBE-GGA) of an optimized crystal structure of TmSb12Ru4.

Results
SG: No. 204
ΔE_f (raw): -0.2613 eV/atom

Lattice parameters (Å, degrees): 8.1172 8.1172 8.1172 109.47 109.47 109.47
With the nearest neighbours (Å) after each atom.
Fractional positions:
Sb 0.1807 0.8430 0.3377  2 Ru 2.63, 1 Sb 2.94
Sb 0.1570 0.3377 0.4946  2 Ru 2.63, 1 Sb 2.94
Sb 0.8430 0.6623 0.5054  2 Ru 2.63, 1 Sb 2.94
Sb 0.1570 0.6623 0.8193  2 Ru 2.63, 1 Sb 2.94
Sb 0.6623 0.5054 0.8430  2 Ru 2.63, 1 Sb 2.94
Sb 0.8193 0.1570 0.6623  2 Ru 2.63, 1 Sb 2.94
Sb 0.5054 0.8430 0.6623  2 Ru 2.63, 1 Sb 2.94
Sb 0.3377 0.4946 0.1570  2 Ru 2.63, 1 Sb 2.94
Sb 0.6623 0.8193 0.1570  2 Ru 2.63, 1 Sb 2.94
Sb 0.8430 0.3377 0.1807  2 Ru 2.63, 1 Sb 2.94
Sb 0.4946 0.1570 0.3377  2 Ru 2.63, 1 Sb 2.94
Sb 0.3377 0.1807 0.8430  2 Ru 2.63, 1 Sb 2.94
Ru 0.5000 0.5000 0.5000  6 Sb 2.63
Ru 0.0000 0.0000 0.5000  6 Sb 2.63
Ru 0.5000 0.0000 0.0000  6 Sb 2.63
Ru 0.0000 0.5000 0.0000  6 Sb 2.63
Tm 0.0000 0.0000 0.0000  12 Sb 3.49

=====

One value per record, in order, for calculated total energy: -0.3337, -0.2710, -0.2064 hartree per atom.